Record 1
## MgW2Se (PBE-GGA)

Data for crystalline MgW2Se at its relaxed geometry.

Lattice parameters (Å, degrees): 2.848 2.848 9.083 90.00 90.00 111.41
Fractional coordinates of all 4 atoms:
W1 0.000 0.000 0.514
Mg1 0.500 0.500 0.250
W2 0.000 0.000 0.986
Se1 0.500 0.500 0.750

Summary:
The value obtained for the total energy is -28.10 eV/cell. The value obtained for the relative energy among the computed polymorphs is 536 meV per atom. As for the energy relative to the elements, uncorrected: 0.721 eV per atom.

=====

Record 2
## Mg2WSe (PBE-GGA)

Data for crystalline Mg2WSe at its relaxed geometry.

Lattice parameters (Å, degrees): 2.925 2.925 8.691 90.00 90.00 90.00
Fractional coordinates of all 4 atoms:
W1 0.500 0.500 0.750
Mg1 0.000 0.000 0.508
Se1 0.500 0.500 0.250
Mg2 0.000 0.000 0.992

Summary:
The value obtained for the total energy is -18.99 eV/cell. As for the energy relative to the elements, uncorrected: 0.159 eV per atom.

=====

Record 3
## MgWSe (PBE-GGA)

Data for crystalline MgWSe at its relaxed geometry.

Lattice parameters (Å, degrees): 4.297 4.297 4.297 60.00 60.00 60.00
Fractional coordinates of all 3 atoms:
Se1 0.750 0.750 0.750
Mg1 0.500 0.500 0.500
W1 0.000 0.000 0.000

Summary:
The value obtained for the total energy is -16.07 eV/cell. The value obtained for the relative energy among the computed polymorphs is 665 meV per atom. As for the energy relative to the elements, uncorrected: 0.656 eV per atom.

=====

Record 4
## Mg2WSe (PBE-GGA)

Data for crystalline Mg2WSe at its relaxed geometry.

Lattice parameters (Å, degrees): 3.031 3.031 9.132 90.00 90.00 112.45
Fractional coordinates of all 4 atoms:
Mg1 0.500 0.500 0.259
W1 0.500 0.500 0.734
Se1 0.000 0.000 0.525
Mg2 0.000 0.000 0.982

Summary:
The value obtained for the total energy is -18.38 eV/cell. As for the energy relative to the elements, uncorrected: 0.313 eV per atom.

=====

Record 5
## MgWSe2 (PBE-GGA)

Data for crystalline MgWSe2 at its relaxed geometry.

Lattice parameters (Å, degrees): 3.132 3.132 8.472 90.00 90.00 89.99
Each line ends with the local moment (μB).
Fractional coordinates of all 4 atoms:
Mg1 0.500 0.500 0.737  0.00
Se1 0.500 0.500 0.332  -0.02
Se2 0.000 0.000 0.942  0.03
W1 0.000 0.000 0.489  0.55

Summary:
The value obtained for the total energy is -21.61 eV/cell. As for the energy relative to the elements, uncorrected: -0.023 eV per atom.

=====

Record 6
## MgW3Se (PBE-GGA)

Data for crystalline MgW3Se at its relaxed geometry.

Lattice parameters (Å, degrees): 4.638 4.638 4.638 90.00 90.00 90.00
Fractional coordinates of all 5 atoms:
W1 0.000 0.000 0.500
Mg1 0.000 0.000 0.000
W2 0.500 0.000 0.000
W3 0.000 0.500 0.000
Se1 0.500 0.500 0.500

Summary:
The value obtained for the total energy is -30.39 eV/cell. The value obtained for the relative energy among the computed polymorphs is 1273 meV per atom. As for the energy relative to the elements, uncorrected: 2.710 eV per atom.

=====

Record 7
## MgW2Se (PBE-GGA)

Data for crystalline MgW2Se at its relaxed geometry.

Lattice parameters (Å, degrees): 5.098 5.098 4.551 80.60 80.60 35.55
Fractional coordinates of all 4 atoms:
Mg1 0.750 0.750 0.750
W1 0.506 0.506 0.499
W2 0.994 0.994 0.001
Se1 0.250 0.250 0.250

Summary:
The value obtained for the total energy is -29.26 eV/cell. The value obtained for the relative energy among the computed polymorphs is 248 meV per atom. As for the energy relative to the elements, uncorrected: 0.432 eV per atom.

=====

Record 8
## MgW2Se (PBE-GGA)

Data for crystalline MgW2Se at its relaxed geometry.

Lattice parameters (Å, degrees): 5.193 5.193 2.874 90.00 90.00 118.14
Fractional coordinates of all 4 atoms:
W1 0.000 0.000 0.000
Mg1 0.500 0.000 0.500
Se1 0.000 0.500 0.500
W2 0.500 0.500 0.000

Summary:
The value obtained for the total energy is -27.97 eV/cell. The value obtained for the relative energy among the computed polymorphs is 568 meV per atom. As for the energy relative to the elements, uncorrected: 0.753 eV per atom.